KCoW2: relaxed, PBE-GGA.

Geometry as POSCAR:
```
KCoW2
1.0
2.687 0.000 0.000
0.000 3.674 0.000
-0.815 0.000 8.408
K Co W
1 1 2
Direct
0.000 0.000 0.000 K
0.500 0.000 0.500 Co
0.025 0.500 0.647 W
0.975 0.500 0.353 W
```

## Properties
energy relative to the lowest polymorph listed for this composition	0.58	eV per formula unit
size of the total moment	0.5	μB/cell
final energy	-7.5754	eV per atom